[1]
4
Lattice="1.5960 0.9215 8.4946 -1.5960 0.9215 8.4946 0.0000 -1.8430 8.4946" Properties=species:S:1:pos:R:3 comment="PBE U2CoP, optimized geometry" dft_energy_ev_per_cell=-34.45 formation_enthalpy_0k_ev_per_atom=0.162 dos_at_fermi_per_ev_cell=6.91 pbc="T T T"
U 0.0000 0.0000 2.3039
U 0.0000 0.0000 23.1799
Co 0.0000 0.0000 0.0000
P 0.0000 0.0000 12.7419


[2]
10
Lattice="4.1440 0.0000 0.0000 0.0000 4.1440 0.0000 0.0000 0.0000 8.6806" Properties=species:S:1:pos:R:3 comment="PBE UCo2P2, optimized geometry" dft_energy_ev_per_cell=-72.53 formation_enthalpy_0k_ev_per_atom=0.011 dos_at_fermi_per_ev_cell=12.81 pbc="T T T"
U 1.0360 1.0360 1.8476
U 3.1080 3.1080 6.8330
Co 1.0360 1.0360 7.3554
Co 1.0360 3.1080 0.0000
Co 3.1080 1.0360 0.0000
Co 3.1080 3.1080 1.3252
P 1.0360 1.0360 5.2808
P 1.0360 3.1080 4.3403
P 3.1080 1.0360 4.3403
P 3.1080 3.1080 3.3998


[3]
11
Lattice="-1.9553 3.3133 6.1338 1.9553 -3.3133 6.1338 1.9553 3.3133 -6.1338" Properties=species:S:1:pos:R:3 comment="PBE U3Co4P4, optimized geometry" dft_energy_ev_per_cell=-93.07 formation_enthalpy_0k_ev_per_atom=-0.831 dos_at_fermi_per_ev_cell=11.25 pbc="T T T"
U 0.0000 0.0000 0.0000
U 1.9553 0.0000 4.8527
U 0.0000 3.3133 1.2811
Co 1.9553 1.3195 -2.2437
Co 1.9553 1.3195 2.2437
Co 0.0000 1.9938 3.8901
Co 0.0000 1.9938 8.3774
P 0.0000 0.0000 2.7034
P 1.9553 1.7926 0.0000
P 0.0000 1.5206 6.1338
P 0.0000 0.0000 9.5641


[4]
10
Lattice="3.9320 0.0000 0.0000 0.0000 3.9320 0.0000 0.0000 0.0000 8.9415" Properties=species:S:1:pos:R:3 comment="PBE UCo2P2, optimized geometry" dft_energy_ev_per_cell=-80.95 formation_enthalpy_0k_ev_per_atom=-0.831 dos_at_fermi_per_ev_cell=13.22 pbc="T T T"
U 0.9830 0.9830 2.2130
U 2.9490 2.9490 6.7285
Co 0.9830 0.9830 7.9237
Co 0.9830 2.9490 4.4707
Co 2.9490 0.9830 4.4707
Co 2.9490 2.9490 1.0177
P 0.9830 0.9830 5.6751
P 0.9830 2.9490 0.0000
P 2.9490 0.9830 0.0000
P 2.9490 2.9490 3.2664


[5]
11
Lattice="-3.0442 3.0442 3.8857 3.0442 -3.0442 3.8857 3.0442 3.0442 -3.8857" Properties=species:S:1:pos:R:3 comment="PBE UCo6P4, optimized geometry" dft_energy_ev_per_cell=-81.04 formation_enthalpy_0k_ev_per_atom=-0.498 dos_at_fermi_per_ev_cell=12.72 polymorph_energy_mev_per_atom=163 pbc="T T T"
U 0.0000 0.0000 0.0000
Co 3.0442 0.0000 0.0000
Co 2.1250 2.1250 -0.9227
Co 0.9192 -0.9192 4.8084
Co 0.0000 3.0442 0.0000
Co 0.9192 0.9192 2.9630
Co -0.9192 0.9192 4.8084
P 1.2414 -1.2414 2.6195
P 1.8028 1.8028 1.2662
P -1.2414 1.2414 2.6195
P 1.2414 1.2414 5.1519


[6]
12
Lattice="4.1475 0.0000 0.0000 -1.3809 5.5111 0.0000 -1.4076 -2.5635 6.9001" Properties=species:S:1:pos:R:3 comment="PBE UCo4P, optimized geometry" dft_energy_ev_per_cell=-92.04 formation_enthalpy_0k_ev_per_atom=-0.150 dos_at_fermi_per_ev_cell=13.44 pbc="T T T"
U 0.5144 1.5816 0.1200
U 0.8445 1.3660 6.7801
Co -0.9525 -0.5345 4.4836
Co -1.2607 1.7786 5.6161
Co 0.5308 0.5581 2.6959
Co 0.1854 4.3957 1.2035
Co 1.1735 -1.4482 5.6966
Co 0.8281 2.3895 4.2042
Co 2.6196 1.1690 1.2840
Co 2.3114 3.4820 2.4165
P -1.3943 1.4738 3.4500
P 1.3699 -1.2818 3.4500


[7]
16
Lattice="1.9483 -5.0513 0.0000 1.9483 5.0513 0.0000 0.0000 0.0000 13.4123" Properties=species:S:1:pos:R:3 comment="PBE U3Co2P3, optimized geometry" dft_energy_ev_per_cell=-140.76 formation_enthalpy_0k_ev_per_atom=-0.759 dos_at_fermi_per_ev_cell=28.00 pbc="T T T"
U 1.9483 4.4059 8.1411
U 1.9483 4.4059 11.9774
U 1.9483 1.3191 10.0592
U 1.9483 -1.3191 3.3531
U 1.9483 -4.4059 1.4349
U 1.9483 -4.4059 5.2712
Co 1.9483 2.7715 1.3725
Co 1.9483 2.7715 5.3337
Co 1.9483 -2.7715 8.0786
Co 1.9483 -2.7715 12.0398
P 1.9483 1.5509 3.3531
P 1.9483 1.3992 7.2925
P 1.9483 1.3992 12.8259
P 1.9483 -1.3992 0.5864
P 1.9483 -1.3992 6.1198
P 1.9483 -1.5509 10.0592


[8]
18
Lattice="1.7811 -5.6835 0.0000 1.7811 5.6835 0.0000 0.0000 0.0000 11.2430" Properties=species:S:1:pos:R:3 comment="PBE UCo5P3, optimized geometry" dft_energy_ev_per_cell=-137.96 formation_enthalpy_0k_ev_per_atom=-0.659 dos_at_fermi_per_ev_cell=16.51 pbc="T T T"
U 1.7811 3.9192 8.4323
U 1.7811 -3.9192 2.8108
Co 0.0000 0.0000 0.0000
Co 0.0000 0.0000 5.6215
Co 1.7811 3.4141 0.7906
Co 1.7811 3.4141 4.8309
Co 1.7811 0.6201 7.2243
Co 1.7811 0.6201 9.6402
Co 1.7811 -0.6201 1.6028
Co 1.7811 -0.6201 4.0187
Co 1.7811 -3.4141 6.4121
Co 1.7811 -3.4141 10.4524
P 1.7811 4.3810 2.8108
P 1.7811 1.3276 0.4875
P 1.7811 1.3276 5.1340
P 1.7811 -1.3276 6.1090
P 1.7811 -1.3276 10.7555
P 1.7811 -4.3810 8.4323


[9]
8
Lattice="-2.7574 3.8355 3.1677 2.7574 -3.8355 3.1677 2.7574 3.8355 -3.1677" Properties=species:S:1:pos:R:3 comment="PBE U2CoP, optimized geometry" dft_energy_ev_per_cell=-72.83 formation_enthalpy_0k_ev_per_atom=-0.331 dos_at_fermi_per_ev_cell=11.83 pbc="T T T"
U 1.3787 4.1768 -1.5838
U 1.3787 0.3413 1.5838
U -1.3787 3.4942 1.5838
U 1.3787 3.4942 1.5838
Co 2.7574 1.9177 -0.3653
Co 0.0000 1.9177 3.5330
P 2.7574 -1.9177 2.7618
P 0.0000 5.7532 0.4059


[10]
12
Lattice="0.0000 4.1132 7.1297 3.0589 0.0000 7.1297 3.0589 4.1132 0.0000" Properties=species:S:1:pos:R:3 comment="PBE U2Co3P, optimized geometry" dft_energy_ev_per_cell=-103.58 formation_enthalpy_0k_ev_per_atom=-0.414 dos_at_fermi_per_ev_cell=10.60 polymorph_energy_mev_per_atom=89 pbc="T T T"
U 4.7675 4.1132 7.1297
U 1.5294 2.0566 3.5648
U 4.5883 6.1699 10.6945
U 1.3503 4.1132 7.1297
Co 3.0589 4.1132 2.5164
Co 3.0589 2.1715 5.8886
Co 3.0589 2.1715 8.3707
Co 3.0589 6.0550 5.8886
Co 3.0589 6.0550 8.3707
Co 3.0589 4.1132 11.7429
P 3.0589 4.1132 4.8130
P 3.0589 4.1132 9.4463


[11]
11
Lattice="6.5403 0.0000 0.0000 -3.2702 5.6641 0.0000 0.0000 0.0000 3.5348" Properties=species:S:1:pos:R:3 comment="PBE UCo6P4, optimized geometry" dft_energy_ev_per_cell=-82.83 formation_enthalpy_0k_ev_per_atom=-0.661 dos_at_fermi_per_ev_cell=15.04 polymorph_energy_mev_per_atom=0 pbc="T T T"
U 0.0000 0.0000 0.0000
Co 0.0000 2.2747 1.7674
Co -1.3003 4.5268 1.7674
Co 3.2702 0.3751 0.0000
Co 1.9599 2.6445 0.0000
Co 1.3003 4.5268 1.7674
Co 4.5804 2.6445 0.0000
P 0.0000 3.7761 0.0000
P 1.8960 1.0947 1.7674
P 4.6443 1.0947 1.7674
P 3.2702 3.4748 1.7674


[12]
18
Lattice="5.6780 0.0000 0.0000 0.0000 5.6780 0.0000 0.0000 0.0000 7.2522" Properties=species:S:1:pos:R:3 comment="PBE UCo4P4, optimized geometry" dft_energy_ev_per_cell=-131.93 formation_enthalpy_0k_ev_per_atom=-0.513 dos_at_fermi_per_ev_cell=18.39 pbc="T T T"
U 1.4195 4.2585 1.8131
U 4.2585 1.4195 5.4392
Co 0.1606 1.4195 0.9961
Co 1.4195 0.1606 4.6222
Co 1.4195 2.6784 4.6222
Co 2.6784 1.4195 0.9961
Co 2.9996 4.2585 6.2561
Co 4.2585 2.9996 2.6300
Co 4.2585 5.5174 2.6300
Co 5.5174 4.2585 6.2561
P 0.1725 1.4195 3.1775
P 1.4195 0.1725 6.8036
P 1.4195 2.6665 6.8036
P 2.6665 1.4195 3.1775
P 3.0115 4.2585 4.0747
P 4.2585 3.0115 0.4486
P 4.2585 5.5055 0.4486
P 5.5055 4.2585 4.0747


[13]
6
Lattice="2.5584 1.4771 3.7228 -2.5584 1.4771 3.7228 0.0000 -2.9542 3.7228" Properties=species:S:1:pos:R:3 comment="PBE U2Co3P, optimized geometry" dft_energy_ev_per_cell=-52.32 formation_enthalpy_0k_ev_per_atom=-0.503 dos_at_fermi_per_ev_cell=8.53 polymorph_energy_mev_per_atom=0 pbc="T T T"
U 0.0000 0.0000 1.3176
U 0.0000 0.0000 9.8508
Co -1.2792 -0.7386 3.7228
Co -1.2792 0.7386 7.4456
Co 0.0000 1.4771 3.7228
P 0.0000 0.0000 5.5842


[14]
12
Lattice="3.3935 0.0000 0.0000 0.0000 9.8558 0.0000 0.0000 0.0000 5.1183" Properties=species:S:1:pos:R:3 comment="PBE UCo2P3, optimized geometry" dft_energy_ev_per_cell=-90.47 formation_enthalpy_0k_ev_per_atom=-0.584 dos_at_fermi_per_ev_cell=11.89 pbc="T T T"
U 0.0000 1.0903 0.0000
U 0.0000 8.7655 2.5591
Co 0.0000 2.5459 2.4087
Co 0.0000 7.3099 4.9678
Co 1.6968 4.6684 2.4731
Co 1.6968 5.1875 5.0323
P 0.0000 3.9479 4.1116
P 0.0000 5.9079 1.5525
P 1.6968 1.1823 2.8589
P 1.6968 3.1202 0.8892
P 1.6968 6.7356 3.4484
P 1.6968 8.6735 0.2997


[15]
5
Lattice="-1.8957 1.8957 5.1438 1.8957 -1.8957 5.1438 1.8957 1.8957 -5.1438" Properties=species:S:1:pos:R:3 comment="PBE UVCoP2, optimized geometry" dft_energy_ev_per_cell=-41.95 formation_enthalpy_0k_ev_per_atom=-0.723 dos_at_fermi_per_ev_cell=7.88 pbc="T T T"
U 0.0000 0.0000 0.0000
V 1.8957 0.0000 2.5719
Co 0.0000 1.8957 2.5719
P 0.0000 0.0000 3.9010
P 0.0000 0.0000 6.3866


[16]
9
Lattice="3.6866 0.0000 0.0000 0.0000 3.6866 0.0000 0.0000 0.0000 9.5900" Properties=species:S:1:pos:R:3 comment="PBE UZnCo5P2, optimized geometry" dft_energy_ev_per_cell=-60.42 formation_enthalpy_0k_ev_per_atom=-0.168 dos_at_fermi_per_ev_cell=11.97 pbc="T T T"
U 0.0000 0.0000 0.0000
Zn 0.0000 0.0000 4.7950
Co 0.0000 1.8433 3.2106
Co 0.0000 1.8433 6.3794
Co 1.8433 0.0000 3.2106
Co 1.8433 0.0000 6.3794
Co 1.8433 1.8433 0.0000
P 1.8433 1.8433 2.1392
P 1.8433 1.8433 7.4508


[17]
6
Lattice="4.4773 -1.3356 0.0000 4.4773 1.3356 0.0000 -1.6974 0.0000 5.8348" Properties=species:S:1:pos:R:3 comment="PBE VCoP, optimized geometry" dft_energy_ev_per_cell=-45.67 formation_enthalpy_0k_ev_per_atom=-0.400 dos_at_fermi_per_ev_cell=4.54 pbc="T T T"
V 1.1844 0.0000 0.8014
V 6.0728 0.0000 5.0334
Co 0.3719 0.0000 3.2119
Co 6.8853 0.0000 2.6229
P 3.6579 0.0000 1.3097
P 3.5992 0.0000 4.5252


[18]
4
Lattice="1.7120 0.9884 5.2280 -1.7120 0.9884 5.2280 0.0000 -1.9768 5.2280" Properties=species:S:1:pos:R:3 comment="PBE VCoP2, optimized geometry" dft_energy_ev_per_cell=-28.08 formation_enthalpy_0k_ev_per_atom=-0.260 dos_at_fermi_per_ev_cell=2.76 polymorph_energy_mev_per_atom=31 pbc="T T T"
V 0.0000 0.0000 0.0000
Co 0.0000 0.0000 7.8421
P 0.0000 0.0000 3.7513
P 0.0000 0.0000 11.9328


[19]
3
Lattice="-1.5938 1.5938 3.5362 1.5938 -1.5938 3.5362 1.5938 1.5938 -3.5362" Properties=species:S:1:pos:R:3 comment="PBE VCoP, optimized geometry" dft_energy_ev_per_cell=-22.46 formation_enthalpy_0k_ev_per_atom=-0.276 dos_at_fermi_per_ev_cell=2.70 pbc="T T T"
V 0.0000 0.0000 0.0000
Co 0.0000 0.0000 2.3267
P 0.0000 0.0000 4.6779


[20]
4
Lattice="0.0000 2.8609 2.8609 2.8609 0.0000 2.8609 2.8609 2.8609 0.0000" Properties=species:S:1:pos:R:3 comment="PBE VCoP2, optimized geometry" dft_energy_ev_per_cell=-28.21 formation_enthalpy_0k_ev_per_atom=-0.290 dos_at_fermi_per_ev_cell=1.69 polymorph_energy_mev_per_atom=0 pbc="T T T"
V 0.0000 0.0000 0.0000
Co 2.8609 2.8609 2.8609
P 1.4305 1.4305 1.4305
P 4.2914 4.2914 4.2914